Compound: Ba3CdAu
Source: Alexandria via LeMat-Bulk
Functional: PBE-GGA
Structure: relaxed

The value obtained for the formation energy from the elements is -0.39 eV/atom. For the offset from the most stable computed form, the calculation gives 0 meV/atom. The calculation puts the density of states at the Fermi level at 1.10 states/eV per atom. For the mass density, the calculation gives 5.48 Mg/m³.

Cell lengths 4.5443, 8.0321, 12.2445 Å; angles 95.48, 100.69, 90.00 degrees
With the nearest neighbours (Å) after each atom.
Element x y z (fractional)
Au 0.4279 0.5163 0.8558  7 Ba 3.40-3.47, 1 Au 3.50
Ba 0.8246 0.4175 0.6493  2 Au 3.40, 2 Cd 3.66
Ba 0.6334 0.1097 0.2669  1 Au 3.47, 3 Cd 3.50-3.65
Ba 0.1754 0.5825 0.3507  2 Au 3.40, 2 Cd 3.66
Ba 0.3666 0.8903 0.7331  1 Au 3.47, 3 Cd 3.50-3.65
Cd 0.2447 0.1277 0.4894  2 Cd 3.09
Cd 0.7553 0.8723 0.5106  2 Cd 3.09
Ba 0.9879 0.2650 0.9758  4 Au 3.41-3.45, 1 Ba 3.76
Ba 0.0121 0.7350 0.0242  4 Au 3.41-3.45, 1 Ba 3.76
Au 0.5721 0.4837 0.1442  7 Ba 3.40-3.47, 1 Au 3.50

***

Compound: BaCdAu2
Source: Alexandria via LeMat-Bulk
Functional: PBE-GGA
Structure: relaxed

The value obtained for the formation energy from the elements is -0.48 eV/atom. The calculation puts the density of states at the Fermi level at 0.29 states/eV per atom. For the mass density, the calculation gives 9.42 Mg/m³.

Cell lengths 4.8718, 4.8718, 6.1920 Å; angles 67.20, 67.20, 59.66 degrees
With the nearest neighbours (Å) after each atom.
Element x y z (fractional)
Au 0.7055 0.7055 0.8832  3 Au 2.87-2.88, 3 Cd 3.08-3.11
Ba 0.4983 0.4983 0.5054  4 Cd 3.38-3.55, 4 Au 3.45-3.51
Au 0.0013 0.0013 0.9960  3 Au 2.87-2.88, 3 Cd 2.88-2.89
Cd 0.2949 0.2949 0.1153  6 Au 2.88-3.11